(1)
# La4TeI5

An optimized crystal structure of La4TeI5 (GGA-PBE, Alexandria via LeMat-Bulk).

```
La4TeI5
1.0
9.842 -2.224 0.000
9.842 2.224 0.000
-1.923 0.000 9.170
La Te I
4 1 5
Direct
0.001 0.001 0.272
0.341 0.341 0.431
0.659 0.659 0.569
0.999 0.999 0.728
0.500 0.500 0.500
0.168 0.168 0.829
0.171 0.171 0.310
0.500 0.500 0.000
0.829 0.829 0.690
0.832 0.832 0.171
```

Calculated values
* final energy: -4.441 eV/atom
* spin magnetization: 0.00 μB/f.u.
* E_form (uncorrected): -1381 meV per atom


(2)
# SrCd2As

An optimized crystal structure of SrCd2As (GGA-PBE, Alexandria via LeMat-Bulk).

```
SrCd2As
1.0
4.565 0.000 0.000
0.000 5.362 0.000
-0.420 0.000 4.557
Sr Cd As
1 2 1
Direct
0.000 0.000 0.000
0.288 0.500 0.713
0.712 0.500 0.287
0.500 0.000 0.500
```

Calculated values
* final energy: -2.411 eV/atom
* spin magnetization: 0.00 μB/f.u.


| no. | V (Å³/cell) |
| --- | --- |
| 1 | 401.4 |
| 2 | 111.5 |